# 1
# Tl5Hg2Sb | the Alexandria database | PBE-GGA | relaxed
# formation energy without anion corrections: -0.34 kJ/mol of atoms
# crystal system: tetragonal
data_Tl5Hg2Sb
_cell_length_a 8.400
_cell_length_b 8.400
_cell_length_c 13.853
_cell_angle_alpha 90.00
_cell_angle_beta 90.00
_cell_angle_gamma 90.00
_space_group_name_H-M_alt 'I 4/m c m'
_space_group_IT_number 140
_space_group_name_Hall '-I 4 2c'
loop_
_atom_site_label
_atom_site_fract_x
_atom_site_fract_y
_atom_site_fract_z
Tl1 0.000 0.000 0.000
Tl2 0.155 0.345 0.158
Hg1 0.143 0.357 0.500
Sb1 0.000 0.000 0.250

---

# 2
# Tl16Hg12Sb | the Alexandria database | PBE-GGA | relaxed
# formation energy without anion corrections: -0.01 kJ/mol of atoms
# crystal system: monoclinic
data_Tl16Hg12Sb
_cell_length_a 11.918
_cell_length_b 16.363
_cell_length_c 10.155
_cell_angle_alpha 90.00
_cell_angle_beta 120.66
_cell_angle_gamma 90.00
_space_group_name_H-M_alt 'C 1 m 1'
_space_group_IT_number 8
_space_group_name_Hall 'C -2y'
loop_
_atom_site_label
_atom_site_fract_x
_atom_site_fract_y
_atom_site_fract_z
Tl1 0.000 0.000 0.000
Tl2 0.017 0.316 0.326
Tl3 0.034 0.371 0.008
Tl4 0.181 0.203 0.676
Tl5 0.286 0.000 0.705
Tl6 0.321 0.314 0.011
Tl7 0.337 0.339 0.386
Tl8 0.354 0.000 0.332
Tl9 0.418 0.155 0.594
Tl10 0.474 0.500 0.634
Hg1 0.091 0.095 0.369
Hg2 0.096 0.500 0.809
Hg3 0.165 0.190 0.170
Hg4 0.220 0.403 0.654
Hg5 0.266 0.094 0.989
Hg6 0.314 0.500 0.156
Hg7 0.483 0.313 0.806
Sb1 0.149 0.500 0.328

---

# 3
# Tl6HgSb | the Alexandria database | PBE-GGA | relaxed
# formation energy without anion corrections: -0.29 kJ/mol of atoms
# crystal system: tetragonal
data_Tl6HgSb
_cell_length_a 5.030
_cell_length_b 5.030
_cell_length_c 9.715
_cell_angle_alpha 90.00
_cell_angle_beta 90.00
_cell_angle_gamma 90.00
_space_group_name_H-M_alt 'P 4/m m m'
_space_group_IT_number 123
_space_group_name_Hall '-P 4 2'
loop_
_atom_site_label
_atom_site_fract_x
_atom_site_fract_y
_atom_site_fract_z
Tl1 0.000 0.000 0.000
Tl2 0.000 0.000 0.500
Tl3 0.000 0.500 0.243
Hg1 0.500 0.500 0.500
Sb1 0.500 0.500 0.000

---

# 4
# Tl5Hg12Sb3 | the Alexandria database | PBE-GGA | relaxed
# formation energy without anion corrections: 13.11 kJ/mol of atoms
# crystal system: cubic
data_Tl5Hg12Sb3
_cell_length_a 17.706
_cell_length_b 17.706
_cell_length_c 17.706
_cell_angle_alpha 90.00
_cell_angle_beta 90.00
_cell_angle_gamma 90.00
_space_group_name_H-M_alt 'I a -3 d'
_space_group_IT_number 230
_space_group_name_Hall '-I 4bd 2c 3'
loop_
_atom_site_label
_atom_site_fract_x
_atom_site_fract_y
_atom_site_fract_z
Tl1 0.000 0.000 0.000
Tl2 0.000 0.250 0.375
Hg1 0.014 0.082 0.654
Sb1 0.000 0.250 0.125

---

# 5
# Tl4Hg4Sb | the Alexandria database | PBE-GGA | relaxed
# formation energy without anion corrections: -1.48 kJ/mol of atoms
# crystal system: tetragonal
data_Tl4Hg4Sb
_cell_length_a 12.652
_cell_length_b 12.652
_cell_length_c 3.383
_cell_angle_alpha 90.00
_cell_angle_beta 90.00
_cell_angle_gamma 90.00
_space_group_name_H-M_alt 'I 4/m'
_space_group_IT_number 87
_space_group_name_Hall '-I 4'
loop_
_atom_site_label
_atom_site_fract_x
_atom_site_fract_y
_atom_site_fract_z
Tl1 0.143 0.824 0.000
Hg1 0.038 0.345 0.500
Sb1 0.000 0.000 0.500

---

# 6
# TlHg3Sb | the Alexandria database | PBE-GGA | relaxed
# formation energy without anion corrections: 2.33 kJ/mol of atoms
# crystal system: monoclinic
data_TlHg3Sb
_cell_length_a 15.133
_cell_length_b 5.155
_cell_length_c 7.989
_cell_angle_alpha 90.00
_cell_angle_beta 106.29
_cell_angle_gamma 90.00
_space_group_name_H-M_alt 'C 1 2/m 1'
_space_group_IT_number 12
_space_group_name_Hall '-C 2y'
loop_
_atom_site_label
_atom_site_fract_x
_atom_site_fract_y
_atom_site_fract_z
Tl1 0.143 0.000 0.001
Hg1 0.043 0.000 0.363
Hg2 0.144 0.500 0.729
Hg3 0.236 0.000 0.608
Sb1 0.060 0.500 0.184